# 1
Density functional theory data (GGA-PBE) for a relaxed structure of LaTb6Hg2.

a b c (Å): 6.6505 6.6505 11.9874
angles (deg): 107.58 107.58 32.82
Closest atoms and distances in Å follow each position.
Sites, in units of the cell vectors:
La1 0.0000 0.0000 0.0000  4 Hg 3.32
Tb1 0.0151 0.0151 0.3399  2 Hg 3.18, 4 Tb 3.55-3.56
Tb2 0.3108 0.3108 0.1256  2 Hg 3.23, 5 Tb 3.47-3.56
Tb3 0.3130 0.3130 0.4178  2 Hg 3.22, 7 Tb 3.46-3.57
Tb4 0.6870 0.6870 0.5822  2 Hg 3.22, 7 Tb 3.46-3.57
Tb5 0.6892 0.6892 0.8744  2 Hg 3.23, 5 Tb 3.47-3.56
Tb6 0.9849 0.9849 0.6601  2 Hg 3.18, 4 Tb 3.55-3.56
Hg1 0.3494 0.3494 0.7798  6 Tb 3.18-3.23, 2 La 3.32
Hg2 0.6506 0.6506 0.2202  6 Tb 3.18-3.23, 2 La 3.32

Summary:
raw total energy: -35.15 eV per cell
D(E_F): 10.39 states/eV/cell
formation energy: -0.20 eV/atom
total magnetization: 0.00 μB/cell
space-group type: C2/m (12)

# 2
Density functional theory data (GGA-PBE) for a relaxed structure of KBeFe2.

a b c (Å): 2.6692 2.6692 8.6358
angles (deg): 90.00 90.00 90.00
Closest atoms and distances in Å follow each position.
Sites, in units of the cell vectors:
K1 0.0000 0.0000 0.0000  4 K 2.67
Be1 0.0000 0.0000 0.5000  8 Fe 2.34
Fe1 0.5000 0.5000 0.3393  4 Be 2.34
Fe2 0.5000 0.5000 0.6607  4 Be 2.34

Summary:
raw total energy: -19.06 eV per cell
D(E_F): 3.49 states/eV/cell
formation energy: 0.67 eV/atom
total magnetization: 4.68 μB/cell
space-group type: P4/mmm (123)

# 3
Density functional theory data (GGA-PBE) for a relaxed structure of RbTb2P2N6.

a b c (Å): 6.4924 6.4924 6.4168
angles (deg): 116.10 116.10 58.25
Closest atoms and distances in Å follow each position.
Sites, in units of the cell vectors:
Rb1 0.0000 0.0000 0.0000  8 N 3.26-3.44, 2 P 3.42
Tb1 0.3232 0.3232 0.6969  4 N 2.28-2.40
Tb2 0.6768 0.6768 0.3031  4 N 2.28-2.40
P1 0.3470 0.3470 0.2569  3 N 1.57-1.58
P2 0.6530 0.6530 0.7431  3 N 1.57-1.58
N1 0.0945 0.5092 0.3359  1 P 1.58
N2 0.4344 0.4344 0.1299  1 P 1.57
N3 0.4908 0.9055 0.6641  1 P 1.58
N4 0.5092 0.0945 0.3359  1 P 1.58
N5 0.5656 0.5656 0.8701  1 P 1.57
N6 0.9055 0.4908 0.6641  1 P 1.58

Summary:
raw formation energy: -0.729 eV/atom
raw total energy: -79.02 eV per cell
D(E_F): 5.01 states/eV/cell
total magnetization: 0.64 μB/cell
space-group type: C2/m (12)

# 4
Density functional theory data (GGA-PBE) for a relaxed structure of LiAcPmCo.

a b c (Å): 5.1684 5.1684 5.1684
angles (deg): 60.00 60.00 60.00
Closest atoms and distances in Å follow each position.
Sites, in units of the cell vectors:
Li1 0.0000 0.0000 0.0000  4 Pm 3.17, 4 Ac 3.17
Ac1 0.2500 0.2500 0.2500  4 Co 3.17, 4 Li 3.17
Pm1 0.7500 0.7500 0.7500  4 Co 3.17, 4 Li 3.17
Co1 0.5000 0.5000 0.5000  4 Ac 3.17, 4 Pm 3.17

Summary:
raw total energy: -17.45 eV per cell
D(E_F): 4.32 states/eV/cell
formation energy: 0.11 eV/atom
total magnetization: 0.00 μB/cell
space-group type: F-43m (216)

# 5
Density functional theory data (GGA-PBE) for a relaxed structure of KOs.

a b c (Å): 13.7231 13.7231 3.8771
angles (deg): 90.00 90.00 120.00
Closest atoms and distances in Å follow each position.
Sites, in units of the cell vectors:
K1 0.1889 0.7444 0.2500  4 Os 3.31-3.48
K2 0.2556 0.4445 0.2500  4 Os 3.31-3.48
K3 0.4445 0.1889 0.7500  4 Os 3.31-3.48
K4 0.5555 0.8111 0.2500  4 Os 3.31-3.48
K5 0.7444 0.5555 0.7500  4 Os 3.31-3.48
K6 0.8111 0.2556 0.7500  4 Os 3.31-3.48
Os1 0.0193 0.4683 0.2500  2 Os 2.29
Os2 0.4490 0.9807 0.2500  2 Os 2.29
Os3 0.4683 0.4490 0.7500  2 Os 2.29
Os4 0.5317 0.5510 0.2500  2 Os 2.29
Os5 0.5510 0.0193 0.7500  2 Os 2.29
Os6 0.9807 0.5317 0.7500  2 Os 2.29

Summary:
raw total energy: -58.60 eV per cell
D(E_F): 9.65 states/eV/cell
formation energy: 1.28 eV/atom
total magnetization: 0.00 μB/cell
space-group type: P6_3/m (176)

# 6
Density functional theory data (GGA-PBE) for a relaxed structure of SrMgNiGe2.

a b c (Å): 6.3059 6.3059 6.3059
angles (deg): 140.33 140.33 57.35
Closest atoms and distances in Å follow each position.
Sites, in units of the cell vectors:
Sr1 0.0000 0.0000 0.0000  8 Ge 3.29, 4 Mg 3.50, 4 Ni 3.50
Mg1 0.7500 0.2500 0.5000  4 Ge 2.59
Ni1 0.2500 0.7500 0.5000  4 Ge 2.59
Ge1 0.3827 0.3827 0.0000  2 Ni 2.59, 2 Mg 2.59, 1 Ge 2.60
Ge2 0.6173 0.6173 0.0000  2 Mg 2.59, 2 Ni 2.59, 1 Ge 2.60

Summary:
raw total energy: -20.35 eV per cell
D(E_F): 2.38 states/eV/cell
formation energy: -0.41 eV/atom
total magnetization: 0.00 μB/cell
space-group type: I-4m2 (119)

# 7
Density functional theory data (GGA-PBE) for a relaxed structure of CsTlNiBr6.

a b c (Å): 6.9979 6.9979 8.2157
angles (deg): 90.00 90.00 120.00
Closest atoms and distances in Å follow each position.
Sites, in units of the cell vectors:
Cs1 0.0000 0.0000 0.0000  6 Br 3.67
Tl1 0.3333 0.6667 0.5000  6 Br 2.82
Ni1 0.6667 0.3333 0.5000  6 Br 2.56
Br1 0.3844 0.0280 0.6849  1 Ni 2.56, 1 Tl 2.82
Br2 0.3844 0.3564 0.3151  1 Ni 2.56, 1 Tl 2.82
Br3 0.6436 0.0280 0.3151  1 Ni 2.56, 1 Tl 2.82
Br4 0.6436 0.6156 0.6849  1 Ni 2.56, 1 Tl 2.82
Br5 0.9720 0.3564 0.6849  1 Ni 2.56, 1 Tl 2.82
Br6 0.9720 0.6156 0.3151  1 Ni 2.56, 1 Tl 2.82

Summary:
raw formation energy: -0.720 eV/atom
raw total energy: -25.52 eV per cell
total magnetization: 1.84 μB/cell
space-group type: P312 (149)

# 8
Density functional theory data (GGA-PBE) for a relaxed structure of La2Ho4C.

a b c (Å): 9.7042 9.7042 9.7042
angles (deg): 150.94 150.94 41.57
Closest atoms and distances in Å follow each position.
Sites, in units of the cell vectors:
La1 0.1781 0.1781 0.0000  5 Ho 3.47-3.55
La2 0.8219 0.8219 0.0000  5 Ho 3.47-3.55
Ho1 0.0000 0.5000 0.5000  2 C 2.43
Ho2 0.3695 0.3695 0.0000  1 C 2.37
Ho3 0.5000 0.0000 0.5000  2 C 2.43
Ho4 0.6305 0.6305 0.0000  1 C 2.37
C1 0.5000 0.5000 0.0000  6 Ho 2.37-2.43

Summary:
raw total energy: -36.75 eV per cell
D(E_F): 11.40 states/eV/cell
formation energy: 0.09 eV/atom
total magnetization: 0.00 μB/cell
space-group type: I4/mmm (139)